1.
! InHPd3 | Alexandria | PBE | optimized geometry; values from VASP
&SYSTEM
  ibrav = 0, nat = 20, ntyp = 3
/
ATOMIC_SPECIES
Pd 106.42 Pd.upf
H 1.01 H.upf
In 114.82 In.upf
CELL_PARAMETERS angstrom
12.025 0.000 -0.751
5.140 4.294 -3.134
-5.140 4.294 3.134
ATOMIC_POSITIONS angstrom
Pd 7.761 2.796 -0.929
Pd 1.764 7.105 -0.540
Pd 1.748 1.497 -0.554
Pd 10.262 1.483 -0.211
Pd 4.249 2.811 0.165
Pd 1.914 4.298 -0.621
Pd 10.277 7.090 -0.197
Pd 7.777 5.776 -0.916
Pd 10.111 4.290 -0.131
Pd 4.264 5.791 0.178
Pd 2.787 4.290 2.137
Pd 9.239 4.298 -2.889
H -1.411 3.027 2.006
H 2.283 3.027 0.752
H 9.742 5.560 -1.503
H 13.436 5.560 -2.757
In 6.449 4.185 1.003
In 5.576 4.402 -1.755
In 0.436 5.470 1.379
In 11.589 3.118 -2.130
! SG = C2/c (15)
! Excess energy over the best structure of this formula in the dataset = 16.3 kJ per mole of atoms
! Raw total energy = -92.133 eV/cell

=====

2.
! Al2InSb | Alexandria | PBE | optimized geometry; values from VASP
&SYSTEM
  ibrav = 0, nat = 4, ntyp = 3
/
ATOMIC_SPECIES
In 114.82 In.upf
Sb 121.76 Sb.upf
Al 26.98 Al.upf
CELL_PARAMETERS angstrom
3.078 -0.065 0.000
-0.329 3.061 0.000
0.000 0.000 9.679
ATOMIC_POSITIONS angstrom
In 0.000 0.000 4.563
Sb 1.374 1.498 7.605
Al 0.000 0.000 0.216
Al 1.374 1.498 2.134
! SG = Cmm2 (35)
! Excess energy over the best structure of this formula in the dataset = 5.8 kJ per mole of atoms
! Uncorrected formation energy = 163.2 meV/atom
! Raw total energy = -13.693 eV/cell

=====

3.
! TbY4N4 | Alexandria | PBE | optimized geometry; values from VASP
&SYSTEM
  ibrav = 0, nat = 9, ntyp = 3
/
ATOMIC_SPECIES
N 14.01 N.upf
Tb 158.93 Tb.upf
Y 88.91 Y.upf
CELL_PARAMETERS angstrom
-3.947 -2.951 -0.027
-1.729 -1.753 -5.547
1.339 -5.908 0.357
ATOMIC_POSITIONS angstrom
N -1.166 -2.525 -3.277
N -1.754 -5.845 -4.235
N -3.170 -8.087 -1.940
N -2.582 -4.767 -0.982
Tb 0.000 0.000 0.000
Y -0.527 -3.400 -0.980
Y -3.809 -7.211 -4.237
Y -3.133 -4.011 -3.152
Y -1.204 -6.601 -2.065
! SG = I4/m (87)
! Uncorrected formation energy = -1490.2 meV/atom
! Raw total energy = -77.200 eV/cell

=====

4.
! TlWBr2 | Alexandria | PBE | optimized geometry; values from VASP
&SYSTEM
  ibrav = 0, nat = 4, ntyp = 3
/
ATOMIC_SPECIES
Br 79.90 Br.upf
W 183.84 W.upf
Tl 204.38 Tl.upf
CELL_PARAMETERS angstrom
-8.483 2.110 -3.514
-9.338 -0.326 -1.207
-8.942 2.960 -0.189
ATOMIC_POSITIONS angstrom
Br -6.367 1.129 -1.168
Br -0.592 0.105 -0.109
W -19.991 3.544 -3.668
Tl -13.195 2.339 -2.421
! SG = R3m (160)
! Excess energy over the best structure of this formula in the dataset = 12.1 kJ per mole of atoms
! Uncorrected formation energy = 376.0 meV/atom
! Raw total energy = -17.161 eV/cell

=====

5.
! Pm2Tc2N5 | Alexandria | PBE | optimized geometry; values from VASP
&SYSTEM
  ibrav = 0, nat = 18, ntyp = 3
/
ATOMIC_SPECIES
N 14.01 N.upf
Tc 98.00 Tc.upf
Pm 145.00 Pm.upf
CELL_PARAMETERS angstrom
-1.195 -2.470 -5.035
4.347 2.533 -2.274
2.930 -6.068 5.546
ATOMIC_POSITIONS angstrom
N 0.997 -4.874 -1.983
N 4.087 -1.713 0.743
N 2.425 -0.096 -5.412
N 3.588 -5.942 3.709
N 3.102 -4.542 1.091
N 1.115 -1.880 0.257
N 4.825 -4.208 -1.945
N 0.246 -1.373 -4.296
N 5.757 -4.685 2.551
N 2.838 -1.546 -2.779
Tc 6.027 -6.037 -1.734
Tc 1.521 -0.001 -3.625
Tc 3.934 -3.029 -3.092
Tc 2.497 -2.773 1.148
Pm 5.626 -3.536 0.294
Pm 0.340 -2.537 -1.996
Pm 2.894 -5.957 -0.924
Pm 3.073 -0.115 -0.778
! SG = Ima2 (46)
! Excess energy over the best structure of this formula in the dataset = 0.0 kJ per mole of atoms
! Uncorrected formation energy = -651.8 meV/atom
! Raw total energy = -155.452 eV/cell

=====

6.
! AcH2Au | Alexandria | PBE | optimized geometry; values from VASP
&SYSTEM
  ibrav = 0, nat = 4, ntyp = 3
/
ATOMIC_SPECIES
Au 196.97 Au.upf
Ac 227.00 Ac.upf
H 1.01 H.upf
CELL_PARAMETERS angstrom
4.550 0.000 0.000
2.275 3.941 0.000
2.275 1.314 4.022
ATOMIC_POSITIONS angstrom
Au 0.000 0.000 0.000
Ac 4.550 2.627 2.011
H 6.826 3.941 1.795
H 2.275 1.314 2.227
! SG = R-3m (166)
! Excess energy over the best structure of this formula in the dataset = 7.1 kJ per mole of atoms
! Raw total energy = -15.730 eV/cell

=====

7.
! ReAgSeO2 | Alexandria | PBE | optimized geometry; values from VASP
&SYSTEM
  ibrav = 0, nat = 5, ntyp = 4
/
ATOMIC_SPECIES
Ag 107.87 Ag.upf
Re 186.21 Re.upf
O 16.00 O.upf
Se 78.96 Se.upf
CELL_PARAMETERS angstrom
-2.424 -1.244 2.655
0.815 -3.595 -0.941
4.096 -0.045 3.719
ATOMIC_POSITIONS angstrom
Ag 1.243 -2.442 2.717
Re 0.000 0.000 0.000
O -1.212 -0.622 1.328
O 0.407 -1.798 -0.471
Se 2.048 -0.022 1.859
! SG = P4/mmm (123)
! Uncorrected formation energy = -787.1 meV/atom
! Raw total energy = -32.636 eV/cell

=====

8.
! IrAuSe | Alexandria | PBE | optimized geometry; values from VASP
&SYSTEM
  ibrav = 0, nat = 3, ntyp = 3
/
ATOMIC_SPECIES
Au 196.97 Au.upf
Se 78.96 Se.upf
Ir 192.22 Ir.upf
CELL_PARAMETERS angstrom
4.319 0.000 0.000
-2.160 3.741 0.000
0.000 0.000 3.282
ATOMIC_POSITIONS angstrom
Au 0.000 0.000 0.000
Se 0.000 2.494 1.640
Ir 2.160 1.247 1.641
! SG = P-6m2 (187)
! Excess energy over the best structure of this formula in the dataset = 35.8 kJ per mole of atoms
! Uncorrected formation energy = 474.5 meV/atom
! Raw total energy = -14.199 eV/cell